## Tb3Nd2Dy (PBE)

Data for Tb3Nd2Dy after structural relaxation.

Cell lengths 6.718, 10.222, 10.222 Å; angles 68.39, 49.15, 49.15 degrees
Sites, in units of the cell vectors:
Tb: 0.667 0.666 0.667
Tb: 0.333 0.334 0.333
Tb: 0.750 0.734 0.266
Tb: 0.167 0.667 0.666
Tb: 0.833 0.333 0.334
Tb: 0.250 0.266 0.734
Dy: 0.000 0.000 0.000
Dy: 0.500 0.000 0.000
Nd: 0.914 0.932 0.403
Nd: 0.086 0.068 0.597
Nd: 0.586 0.597 0.068
Nd: 0.414 0.403 0.932

Output
density of states at the Fermi level = 1.701 states/eV per atom
space-group type = C2/c, No. 15
mass density = 7.712 Mg/m³
total energy = -4.484 eV per atom
formation energy = 188 meV/atom